# PBE-GGA GdGa6Ni, optimized geometry
data_GdGa6Ni
_space_group_name_H-M_alt 'P -6 m 2'
_space_group_IT_number 187
_space_group_name_Hall 'P -6 2'
_cell_length_a 6.2153
_cell_length_b 6.2153
_cell_length_c 4.2851
_cell_angle_alpha 90.00
_cell_angle_beta 90.00
_cell_angle_gamma 120.00
loop_
_atom_site_label
_atom_site_fract_x
_atom_site_fract_y
_atom_site_fract_z
Gd1 0.0000 0.0000 0.0000
Ga1 0.1884 0.3768 0.5000
Ga2 0.5187 0.0374 0.0000
Ni1 0.6667 0.3333 0.5000
# - Mass density: 7.35 g cm⁻³
# - E: -3.74 eV/atom
# - V: 17.92 A^3/atom

---

# PBE-GGA LiTaTl, optimized geometry
data_LiTaTl
_space_group_name_H-M_alt 'F -4 3 m'
_space_group_IT_number 216
_space_group_name_Hall 'F -4 2 3'
_cell_length_a 6.092
_cell_length_b 6.092
_cell_length_c 6.092
_cell_angle_alpha 90.00
_cell_angle_beta 90.00
_cell_angle_gamma 90.00
loop_
_atom_site_label
_atom_site_fract_x
_atom_site_fract_y
_atom_site_fract_z
Li1 0.000 0.000 0.000
Ta1 0.250 0.250 0.750
Tl1 0.250 0.250 0.250
# - Mass density: 11.53 g cm⁻³
# - E: -4.43 eV/atom
# - V: 18.84 A^3/atom